Model A:
This record from Alexandria describes a relaxed BaW3Cl crystal. The functional is GGA-PBE. Values from VASP.

Summary:
The total magnetic moment comes out at 0.192 μB/atom.

Geometry as Quantum ESPRESSO input:
```
&SYSTEM
  ibrav = 0, nat = 5, ntyp = 3
/
ATOMIC_SPECIES
Ba 137.33 Ba.upf
W 183.84 W.upf
Cl 35.45 Cl.upf
CELL_PARAMETERS angstrom
-4.250 -2.845 0.244
-0.197 -0.145 -5.114
2.849 -4.255 0.010
ATOMIC_POSITIONS crystal
Ba 0.000 0.000 0.000
W 0.500 0.000 0.000
W 0.000 0.000 0.500
W 0.000 0.500 0.000
Cl 0.500 0.500 0.500
```

=====

Model B:
This record from Alexandria describes a relaxed BaW3Cl crystal. The functional is GGA-PBE. Values from VASP.

Summary:
The total magnetic moment comes out at 0.000 μB/atom.

Geometry as Quantum ESPRESSO input:
```
&SYSTEM
  ibrav = 0, nat = 5, ntyp = 3
/
ATOMIC_SPECIES
W 183.84 W.upf
Cl 35.45 Cl.upf
Ba 137.33 Ba.upf
CELL_PARAMETERS angstrom
4.687 0.000 0.000
0.000 4.687 0.000
0.000 0.000 4.687
ATOMIC_POSITIONS crystal
W 0.000 0.500 0.000
W 0.000 0.000 0.500
W 0.500 0.000 0.000
Cl 0.000 0.000 0.000
Ba 0.500 0.500 0.500
```

=====

Tell me which of them is the most stable. Sure, it is model B.

=====

Model A:
This record from Alexandria describes a relaxed BaY3Cl crystal. The functional is GGA-PBE. Values from VASP.

Summary:
The total magnetic moment comes out at 0.000 μB/atom.

Geometry as Quantum ESPRESSO input:
```
&SYSTEM
  ibrav = 0, nat = 5, ntyp = 3
/
ATOMIC_SPECIES
Ba 137.33 Ba.upf
Y 88.91 Y.upf
Cl 35.45 Cl.upf
CELL_PARAMETERS angstrom
5.858 0.000 0.000
0.000 5.858 0.000
0.000 0.000 5.858
ATOMIC_POSITIONS crystal
Ba 0.000 0.000 0.000
Y 0.000 0.500 0.000
Y 0.000 0.000 0.500
Y 0.500 0.000 0.000
Cl 0.500 0.500 0.500
```

=====

Model B:
This record from Alexandria describes a relaxed BaY3Cl crystal. The functional is GGA-PBE. Values from VASP.

Summary:
The total magnetic moment comes out at 0.000 μB/atom.

Geometry as Quantum ESPRESSO input:
```
&SYSTEM
  ibrav = 0, nat = 5, ntyp = 3
/
ATOMIC_SPECIES
Y 88.91 Y.upf
Ba 137.33 Ba.upf
Cl 35.45 Cl.upf
CELL_PARAMETERS angstrom
-0.534 2.452 -4.879
1.701 -4.584 -2.490
-5.189 -1.755 -0.314
ATOMIC_POSITIONS crystal
Y 0.000 0.500 0.000
Y 0.500 0.000 0.000
Y 0.000 0.000 0.500
Ba 0.500 0.500 0.500
Cl 0.000 0.000 0.000
```

=====

Tell me which of them is the most stable. Sure, it is model B.

=====

Model A:
This record from Alexandria describes a relaxed BaYCl2 crystal. The functional is GGA-PBE. Values from VASP.

Summary:
The total magnetic moment comes out at 0.000 μB/atom.

Geometry as Quantum ESPRESSO input:
```
&SYSTEM
  ibrav = 0, nat = 4, ntyp = 3
/
ATOMIC_SPECIES
Ba 137.33 Ba.upf
Cl 35.45 Cl.upf
Y 88.91 Y.upf
CELL_PARAMETERS angstrom
4.888 0.015 -0.002
3.438 3.475 -0.002
1.497 0.628 6.514
ATOMIC_POSITIONS crystal
Ba 0.750 0.750 0.750
Cl 0.993 0.993 0.044
Cl 0.507 0.507 0.456
Y 0.250 0.250 0.250
```

=====

Model B:
This record from Alexandria describes a relaxed BaYCl2 crystal. The functional is GGA-PBE. Values from VASP.

Summary:
The total magnetic moment comes out at 0.245 μB/atom.

Geometry as Quantum ESPRESSO input:
```
&SYSTEM
  ibrav = 0, nat = 4, ntyp = 3
/
ATOMIC_SPECIES
Y 88.91 Y.upf
Cl 35.45 Cl.upf
Ba 137.33 Ba.upf
CELL_PARAMETERS angstrom
-1.129 -2.689 -2.723
3.544 0.337 -1.803
2.765 -5.602 4.386
ATOMIC_POSITIONS crystal
Y 0.000 0.000 0.392
Cl 0.500 0.500 0.296
Cl 0.000 0.000 0.017
Ba 0.500 0.500 0.795
```

=====

Tell me which of them is the most stable. Sure, it is model B.